Compound: FeOs2Rh
Source: Alexandria
Functional: PBE
Structure: relaxed

Computed properties:
- Relative energy among the computed polymorphs: 24 meV per atom
- Symmetry: No. 99
- Total magnetic moment: 2.5 μB per cell

a b c (Å): 2.710 2.710 7.488
angles (deg): 90.00 90.00 90.00
Site moments in Bohr magnetons follow the coordinates.
Sites, in units of the cell vectors:
Rh 0.000 0.000 0.507  0.16
Os 0.000 0.000 0.996  -0.09
Os 0.500 0.500 0.247  0.02
Fe 0.500 0.500 0.750  2.45